Entry 1
ZrPt2Cl: relaxed, PBE.

a b c (Å): 7.7653 7.7653 6.0907
angles (deg): 50.40 50.40 90.00
Positions (direct):
Zr  0.0000  0.0000  0.0000
Zr  0.7500  0.2500  0.5000
Pt  0.6477  0.1250  0.2500
Pt  0.1023  0.6250  0.2500
Pt  0.3750  0.3523  0.7500
Pt  0.8750  0.8977  0.7500
Cl  0.5000  0.5000  0.0000
Cl  0.2500  0.7500  0.5000

Output
theoretical density: 10800 kg/m³


Entry 2
ZrPt2Cl: relaxed, PBE.

a b c (Å): 5.3486 5.3486 5.3486
angles (deg): 137.08 137.08 62.32
Positions (direct):
Cl  0.7500  0.2500  0.5000
Pt  0.0000  0.0000  0.0000
Pt  0.5000  0.5000  0.0000
Zr  0.2500  0.7500  0.5000

Output
theoretical density: 12242 kg/m³


Going by the computed energies, the most stable comes first: entry 1, entry 2.


Entry 1
TcMo2Cl: relaxed, PBE.

a b c (Å): 5.2035 5.2035 4.3385
angles (deg): 88.93 88.93 33.25
Positions (direct):
Cl  0.7480  0.7480  0.7358
Mo  0.9605  0.9605  0.0171
Mo  0.2589  0.2589  0.2854
Tc  0.5326  0.5326  0.4616

Output
theoretical density: 8390 kg/m³


Entry 2
TcMo2Cl: relaxed, PBE.

a b c (Å): 4.1207 2.9165 5.4862
angles (deg): 79.65 90.00 90.00
Positions (direct):
Cl  0.5000  0.8912  0.7219
Mo  0.0000  0.8000  0.0235
Mo  0.5000  0.1576  0.2795
Tc  0.0000  0.6512  0.4751

Output
theoretical density: 8329 kg/m³


Going by the computed energies, the most stable comes first: entry 2, entry 1.


Entry 1
TcRu: relaxed, PBE.

a b c (Å): 4.3384 2.7455 4.7660
angles (deg): 90.00 90.00 90.00
Positions (direct):
Ru  0.2500  0.5000  0.6700
Ru  0.7500  0.5000  0.3300
Tc  0.2500  0.0000  0.1643
Tc  0.7500  0.0000  0.8357

Output
theoretical density: 11646 kg/m³


Entry 2
TcRu: relaxed, PBE.

a b c (Å): 2.7248 2.7248 13.3170
angles (deg): 90.00 90.00 120.00
Positions (direct):
Ru  0.0000  0.0000  0.5000
Ru  0.3333  0.6667  0.1667
Ru  0.6667  0.3333  0.8333
Tc  0.0000  0.0000  0.0000
Tc  0.3333  0.6667  0.6667
Tc  0.6667  0.3333  0.3333

Output
theoretical density: 11582 kg/m³


Going by the computed energies, the most stable comes first: entry 1, entry 2.